# Sc3TaB, optimized geometry, DFT GGA-PBE
data_Sc3TaB
_cell_length_a 4.6488
_cell_length_b 4.6488
_cell_length_c 4.6488
_cell_angle_alpha 90.00
_cell_angle_beta 90.00
_cell_angle_gamma 90.00
_symmetry_space_group_name_H-M 'P m -3 m'
_symmetry_Int_Tables_number 221
_symmetry_space_group_name_Hall '-P 4 2 3'
loop_
_atom_site_label
_atom_site_type_symbol
_atom_site_fract_x
_atom_site_fract_y
_atom_site_fract_z
_atom_site_occupancy
Sc1 Sc 0.0000 0.0000 0.5000 1
Ta1 Ta 0.5000 0.5000 0.5000 1
B1 B 0.0000 0.0000 0.0000 1
# * E_tot: -7.18 eV/atom
# * crystal system: cubic
# * distance to the lowest polymorph of the same formula: 0.0000 eV per atom
# * density of states at the Fermi level: 1.56 states/eV per atom
# * energy relative to the elements: 31 kJ per mole of atoms